Below is a relaxed Li2VO2F crystal, with properties calculated at the GGA+U level.

a b c (Å): 3.007 7.351 10.457
angles (deg): 89.45 89.86 89.87
Fractional coordinates of all 24 atoms:
Li1 0.002 0.849 0.662
Li2 0.999 0.864 0.158
Li3 0.999 0.160 0.325
Li4 0.001 0.127 0.844
Li5 0.498 0.841 0.410
Li6 0.500 0.874 0.952
Li7 0.498 0.140 0.073
Li8 0.498 0.149 0.576
V1 0.001 0.499 0.006
V2 0.994 0.498 0.499
V3 0.501 0.504 0.254
V4 0.510 0.478 0.740
O1 0.999 0.338 0.665
O2 0.002 0.357 0.173
O3 0.000 0.656 0.338
O4 0.999 0.006 0.003
O5 0.500 0.347 0.419
O6 0.502 0.370 0.913
O7 0.501 0.650 0.084
O8 0.490 0.646 0.587
F1 0.008 0.653 0.822
F2 0.999 0.996 0.499
F3 0.499 0.002 0.260
F4 0.500 0.996 0.738

Values from the calculation:
VASP energy in eV per formula unit: -36.83
Size of the total moment in μB/f.u.: 2.00
E above lowest polymorph in meV per atom: 92.4